Here is InFeAgF6 after structural relaxation from the Alexandria database. Energies are from PBE+U.

The structure in POSCAR format:
```
InFeAgF6
1.0
5.7030 0.0000 0.0000
-2.8515 4.9389 0.0000
0.0000 0.0000 10.0599
In Fe Ag F
2 2 2 12
direct
0.3333 0.6667 0.2500
0.6667 0.3333 0.7500
0.3333 0.6667 0.7500
0.6667 0.3333 0.2500
0.0000 0.0000 0.0000
0.0000 0.0000 0.5000
0.0009 0.3672 0.6418
0.0009 0.6337 0.8582
0.3663 0.3672 0.8582
0.3663 0.9991 0.6418
0.3672 0.0009 0.1418
0.3672 0.3663 0.3582
0.6328 0.6337 0.6418
0.6328 0.9991 0.8582
0.6337 0.0009 0.3582
0.6337 0.6328 0.1418
0.9991 0.3663 0.1418
0.9991 0.6328 0.3582
```

Computed properties:
The total energy is -4.6387 eV/atom. Its symmetry is P-31c, No. 163. As for the crystal system: trigonal.